# 1
Entry from Alexandria via LeMat-Bulk: a relaxed structure of BaGdTl2 (PBE).

```
BaGdTl2
1.0
4.016 0.000 0.000
0.000 4.016 0.000
0.000 0.000 8.238
Ba Gd Tl
1 1 2
direct
0.500 0.500 0.500
0.500 0.500 0.000
0.000 0.000 0.787
0.000 0.000 0.213
```

Computed properties:
SG = P4/mmm, No. 123

# 2
Entry from Alexandria via LeMat-Bulk: a relaxed structure of BaGd2Tm (PBE).

```
BaGd2Tm
1.0
3.724 0.000 0.000
0.000 3.724 0.000
0.000 0.000 10.684
Gd Tm Ba
2 1 1
direct
0.000 0.000 0.787
0.000 0.000 0.213
0.500 0.500 0.000
0.500 0.500 0.500
```

Computed properties:
SG = P4/mmm, No. 123

# 3
Entry from Alexandria via LeMat-Bulk: a relaxed structure of BaGdTm2 (PBE).

```
BaGdTm2
1.0
3.576 0.000 0.000
1.788 3.097 0.000
1.788 1.032 12.771
Ba Gd Tm
1 1 2
direct
0.000 0.000 0.000
0.500 0.500 0.500
0.907 0.907 0.280
0.093 0.093 0.720
```

Computed properties:
SG = R-3m, No. 166

no.,energy relative to the elements (eV/atom)
1,-0.39
2,0.14
3,0.25